Compound: Ca4CdIn
Source: the Alexandria database
Functional: PBE
Structure: relaxed

Cell: 7.1155 7.1155 7.7368 Å, 105.76 105.76 31.94°
Last column: nearest neighbours and their distance in Å.
Element x y z (fractional)
Ca1 0.1411 0.1411 0.3197  2 In 3.31, 2 Cd 3.32, 1 Ca 3.70
Ca2 0.1409 0.1409 0.8213  2 In 3.31, 2 Cd 3.32, 1 Ca 3.70
Ca3 0.8591 0.8591 0.1787  2 In 3.31, 2 Cd 3.32, 1 Ca 3.70
Ca4 0.8589 0.8589 0.6803  2 In 3.31, 2 Cd 3.32, 1 Ca 3.70
Cd1 0.5000 0.5000 0.5000  8 Ca 3.32
In1 0.5000 0.5000 0.0000  8 Ca 3.31

As for the formation energy: -0.293 eV per atom. Its total magnetization is 0.00 Bohr magnetons per cell. As for the space group: C2/m. Its offset from the most stable computed form is 0 kJ/mol of formula units. For the density of states at the Fermi level, the calculation gives 0.70 states/eV/atom.

=====

Compound: CaEuH3
Source: the Alexandria database
Functional: PBE
Structure: relaxed

Cell: 4.2824 4.2824 4.2824 Å, 90.00 90.00 90.00°
Last column: nearest neighbours and their distance in Å.
Element x y z (fractional)
Ca1 0.0000 0.0000 0.0000  6 H 2.14
Eu1 0.5000 0.5000 0.5000  12 H 3.03
H1 0.0000 0.0000 0.5000  2 Ca 2.14
H2 0.0000 0.5000 0.0000  2 Ca 2.14
H3 0.5000 0.0000 0.0000  2 Ca 2.14

Its total magnetization is 7.12 Bohr magnetons per cell. As for the space group: Pm-3m. For the density of states at the Fermi level, the calculation gives 0.18 states/eV/atom.

=====

Compound: BeRe2Sb
Source: the Alexandria database
Functional: PBE
Structure: relaxed

Cell: 4.4368 4.4368 4.4368 Å, 60.00 60.00 60.00°
Last column: nearest neighbours and their distance in Å.
Element x y z (fractional)
Be1 0.0000 0.0000 0.0000  4 Re 2.72, 4 Sb 2.72
Re1 0.5000 0.5000 0.5000  4 Re 2.72, 4 Sb 2.72
Re2 0.7500 0.7500 0.7500  4 Re 2.72, 4 Be 2.72
Sb1 0.2500 0.2500 0.2500  4 Re 2.72, 4 Be 2.72

Its total magnetization is 0.00 Bohr magnetons per cell. As for the space group: F-43m. Its offset from the most stable computed form is 186 kJ/mol of formula units. As for the energy relative to the elements, uncorrected: 0.657 eV/atom. For the density of states at the Fermi level, the calculation gives 1.26 states/eV/atom.

=====

Compound: Sb2PtSe
Source: the Alexandria database
Functional: PBE
Structure: relaxed

Cell: 3.9652 3.9652 7.2854 Å, 106.00 106.00 60.38°
Last column: nearest neighbours and their distance in Å.
Element x y z (fractional)
Sb1 0.2392 0.2392 0.2172  3 Pt 2.74, 3 Se 3.01
Sb2 0.7608 0.7608 0.7828  3 Pt 2.74, 3 Se 3.01
Pt1 0.5000 0.5000 0.0000  6 Sb 2.74
Se1 0.0000 0.0000 0.5000  6 Sb 3.01

Its total magnetization is 0.00 Bohr magnetons per cell. As for the space group: C2/m. As for the energy relative to the elements, uncorrected: -0.283 eV/atom. For the density of states at the Fermi level, the calculation gives 0.48 states/eV/atom.

=====

Compound: Rb3Br6F
Source: the Alexandria database
Functional: PBE
Structure: relaxed

Cell: 8.7420 8.7420 8.7420 Å, 127.10 127.10 78.08°
Last column: nearest neighbours and their distance in Å.
Element x y z (fractional)
Rb1 0.0000 0.0000 0.0000  6 Br 3.16-3.23
Rb2 0.2500 0.7500 0.5000  4 Br 3.90
Rb3 0.7500 0.2500 0.5000  4 Br 3.90
Br1 0.2380 0.2380 0.0000  1 Rb 3.23, 1 F 3.56
Br2 0.2867 0.2867 0.5733  1 F 2.35
Br3 0.2867 0.7133 0.0000  1 F 2.35
Br4 0.7133 0.2867 0.0000  1 F 2.35
Br5 0.7133 0.7133 0.4267  1 F 2.35
Br6 0.7620 0.7620 0.0000  1 Rb 3.23, 1 F 3.56
F1 0.5000 0.5000 0.0000  4 Br 2.35

Its total magnetization is 0.66 Bohr magnetons per cell. As for the space group: I4/mmm. As for the energy relative to the elements, uncorrected: -0.742 eV/atom. For the density of states at the Fermi level, the calculation gives 1.51 states/eV/atom.

=====

Compound: Sr2BiBr2O2
Source: the Alexandria database
Functional: PBE
Structure: relaxed

Cell: 7.0684 7.0684 8.6996 Å, 125.26 125.26 31.49°
Last column: nearest neighbours and their distance in Å.
Element x y z (fractional)
Sr1 0.1819 0.1819 0.2750  3 O 2.39-2.47
Sr2 0.8181 0.8181 0.7250  3 O 2.39-2.47
Bi1 0.0000 0.0000 0.5000  2 O 2.29
Br1 0.4256 0.4256 0.1174  4 Sr 3.39-3.46, 2 Bi 3.43, 1 Br 3.64
Br2 0.5744 0.5744 0.8826  4 Sr 3.39-3.46, 2 Bi 3.43, 1 Br 3.64
O1 0.1903 0.1903 0.5670  1 Bi 2.29, 3 Sr 2.39-2.47
O2 0.8097 0.8097 0.4330  1 Bi 2.29, 3 Sr 2.39-2.47

Its total magnetization is 0.00 Bohr magnetons per cell. As for the space group: C2/m. As for the energy relative to the elements, uncorrected: -1.858 eV/atom. For the density of states at the Fermi level, the calculation gives 0.23 states/eV/atom.

=====

Compound: Sr2Cd2In
Source: the Alexandria database
Functional: PBE
Structure: relaxed

Cell: 8.1689 8.1689 4.8806 Å, 90.00 90.00 90.00°
Last column: nearest neighbours and their distance in Å.
Element x y z (fractional)
Sr1 0.1791 0.3209 0.0000  6 Cd 3.33-3.51
Sr2 0.3209 0.8209 0.0000  6 Cd 3.33-3.51
Sr3 0.6791 0.1791 0.0000  6 Cd 3.33-3.51
Sr4 0.8209 0.6791 0.0000  6 Cd 3.33-3.51
Cd1 0.1249 0.6249 0.5000  1 Cd 2.89, 2 In 3.23
Cd2 0.3751 0.1249 0.5000  1 Cd 2.89, 2 In 3.23
Cd3 0.6249 0.8751 0.5000  1 Cd 2.89, 2 In 3.23
Cd4 0.8751 0.3751 0.5000  1 Cd 2.89, 2 In 3.23
In1 0.0000 0.0000 0.5000  4 Cd 3.23
In2 0.5000 0.5000 0.5000  4 Cd 3.23

As for the formation energy: -0.302 eV per atom. Its total magnetization is 0.00 Bohr magnetons per cell. As for the space group: P4/mbm. Its offset from the most stable computed form is 30 kJ/mol of formula units. For the density of states at the Fermi level, the calculation gives 0.88 states/eV/atom.

=====

Compound: BeRe2Ni
Source: the Alexandria database
Functional: PBE
Structure: relaxed

Cell: 4.7113 4.7113 4.7113 Å, 143.35 128.00 65.29°
Last column: nearest neighbours and their distance in Å.
Element x y z (fractional)
Be1 0.0000 0.0000 0.0000  2 Ni 2.19
Re1 0.4735 0.4735 0.0000  4 Be 2.55, 4 Ni 2.61-2.75, 4 Re 2.66-2.71
Re2 0.7520 0.2520 0.5000  2 Be 2.46, 4 Ni 2.57, 4 Re 2.66-2.71
Ni1 0.2029 0.7029 0.5000  2 Be 2.19

As for the formation energy: -0.069 eV per atom. Its total magnetization is 0.00 Bohr magnetons per cell. As for the space group: Imm2. For the density of states at the Fermi level, the calculation gives 0.59 states/eV/atom.

=====

Compound: Pm3TmIr
Source: the Alexandria database
Functional: PBE
Structure: relaxed

Cell: 5.5612 5.5612 5.5612 Å, 90.00 90.00 90.00°
Last column: nearest neighbours and their distance in Å.
Element x y z (fractional)
Pm1 0.0000 0.0000 0.5000  2 Ir 2.78
Pm2 0.0000 0.5000 0.0000  2 Ir 2.78
Pm3 0.5000 0.0000 0.0000  2 Ir 2.78
Tm1 0.5000 0.5000 0.5000  12 Pm 3.93
Ir1 0.0000 0.0000 0.0000  6 Pm 2.78

As for the formation energy: -0.125 eV per atom. Its total magnetization is 0.00 Bohr magnetons per cell. As for the space group: Pm-3m. For the density of states at the Fermi level, the calculation gives 1.71 states/eV/atom.

=====

Compound: Ba5Pt4Cl
Source: the Alexandria database
Functional: PBE
Structure: relaxed

Cell: 12.2371 12.2371 12.2371 Å, 158.42 149.40 37.75°
Last column: nearest neighbours and their distance in Å.
Element x y z (fractional)
Ba1 0.0000 0.0000 0.0000  4 Pt 3.20, 2 Cl 3.23
Ba2 0.1994 0.1994 0.0000  6 Pt 3.23-3.30
Ba3 0.3916 0.3916 0.0000  4 Pt 3.14-3.24, 2 Cl 3.40
Ba4 0.6084 0.6084 0.0000  4 Pt 3.14-3.24, 2 Cl 3.40
Ba5 0.8006 0.8006 0.0000  6 Pt 3.23-3.30
Pt1 0.0966 0.5966 0.5000  6 Ba 3.20-3.30
Pt2 0.2992 0.7992 0.5000  6 Ba 3.14-3.25
Pt3 0.7008 0.2008 0.5000  6 Ba 3.14-3.25
Pt4 0.9034 0.4034 0.5000  6 Ba 3.20-3.30
Cl1 0.5000 0.0000 0.5000  6 Ba 3.23-3.40

Its total magnetization is 0.00 Bohr magnetons per cell. As for the space group: Immm. As for the energy relative to the elements, uncorrected: -0.966 eV/atom. For the density of states at the Fermi level, the calculation gives 0.32 states/eV/atom.

=====

Compound: GaSn3Bi
Source: the Alexandria database
Functional: PBE
Structure: relaxed

Cell: 5.3479 5.3479 5.3479 Å, 90.00 90.00 90.00°
Last column: nearest neighbours and their distance in Å.
Element x y z (fractional)
Ga1 0.0000 0.0000 0.0000  6 Sn 2.67
Sn1 0.0000 0.0000 0.5000  2 Ga 2.67
Sn2 0.0000 0.5000 0.0000  2 Ga 2.67
Sn3 0.5000 0.0000 0.0000  2 Ga 2.67
Bi1 0.5000 0.5000 0.5000  12 Sn 3.78

As for the formation energy: 0.309 eV per atom. Its total magnetization is 0.00 Bohr magnetons per cell. As for the space group: Pm-3m. Its offset from the most stable computed form is 0 kJ/mol of formula units. For the density of states at the Fermi level, the calculation gives 0.49 states/eV/atom.

=====

Compound: Zn4InNi
Source: the Alexandria database
Functional: PBE
Structure: relaxed

Cell: 5.0797 5.0797 5.0797 Å, 60.00 60.00 60.00°
Last column: nearest neighbours and their distance in Å.
Element x y z (fractional)
Zn1 0.1240 0.1240 0.1240  6 Zn 2.52-2.56
Zn2 0.1240 0.1240 0.6280  6 Zn 2.52-2.56
Zn3 0.1240 0.6280 0.1240  6 Zn 2.52-2.56
Zn4 0.6280 0.1240 0.1240  6 Zn 2.52-2.56
In1 0.5000 0.5000 0.5000  12 Zn 2.98, 4 Ni 3.11
Ni1 0.7500 0.7500 0.7500  12 Zn 2.98, 4 In 3.11

As for the formation energy: 0.084 eV per atom. Its total magnetization is 0.00 Bohr magnetons per cell. As for the space group: F-43m. For the density of states at the Fermi level, the calculation gives 0.28 states/eV/atom.

=====

Number 1: uncorrected energy -2.2361 eV/atom, calculated density 3.2 g/cm3. Number 2: uncorrected energy -4.8109 eV/atom, calculated density 4.1 g/cm3. Number 3: uncorrected energy -7.5296 eV/atom, calculated density 13.5 g/cm3. Number 4: uncorrected energy -4.7254 eV/atom, calculated density 9.1 g/cm3. Number 5: uncorrected energy -2.2227 eV/atom, calculated density 3.0 g/cm3. Number 6: uncorrected energy -4.7874 eV/atom, calculated density 5.3 g/cm3. Number 7: uncorrected energy -1.8880 eV/atom, calculated density 5.3 g/cm3. Number 8: uncorrected energy -8.6701 eV/atom, calculated density 15.1 g/cm3. Number 9: uncorrected energy -5.6418 eV/atom, calculated density 7.7 g/cm3. Number 10: uncorrected energy -4.5288 eV/atom, calculated density 7.3 g/cm3. Number 11: uncorrected energy -3.4744 eV/atom, calculated density 6.9 g/cm3. Number 12: uncorrected energy -2.1856 eV/atom, calculated density 7.8 g/cm3.